# 1
A relaxed AgWSeN2 crystal, computed with GGA-PBE.

Results
**Energy above the most stable polymorph in this dataset**: 0 meV/atom
**Uncorrected formation energy**: 0.34 eV/atom
**M_tot**: 0.0 μB per formula unit
**Symmetry**: P4/mmm, No. 123

a b c (Å): 3.902 3.902 5.413
angles (deg): 90.00 90.00 90.00
Sites, in units of the cell vectors:
Ag  0.000  0.000  0.000
W  0.500  0.500  0.500
Se  0.500  0.500  0.000
N  0.000  0.500  0.500
N  0.500  0.000  0.500

---

# 2
A relaxed AgW2SeN crystal, computed with GGA-PBE.

Results
**Uncorrected formation energy**: 0.78 eV/atom
**M_tot**: 0.0 μB per formula unit
**Symmetry**: P4/mmm, No. 123

a b c (Å): 4.009 4.009 5.199
angles (deg): 90.00 90.00 90.00
Sites, in units of the cell vectors:
Ag  0.000  0.000  0.000
W  0.000  0.500  0.500
W  0.500  0.000  0.500
Se  0.500  0.500  0.000
N  0.500  0.500  0.500

---

# 3
A relaxed YAgSeN2 crystal, computed with GGA-PBE.

Results
**Energy above the most stable polymorph in this dataset**: 72 meV/atom
**Uncorrected formation energy**: 0.83 eV/atom
**M_tot**: 1.6 μB per formula unit
**Symmetry**: P4/mmm, No. 123

a b c (Å): 4.179 4.179 5.011
angles (deg): 90.00 90.00 90.00
Sites, in units of the cell vectors:
Y  0.000  0.000  0.000
Ag  0.500  0.500  0.500
Se  0.500  0.500  0.000
N  0.000  0.500  0.500
N  0.500  0.000  0.500

---

# 4
A relaxed YAgSe2N crystal, computed with GGA-PBE.

Results
**Energy above the most stable polymorph in this dataset**: 0 meV/atom
**Uncorrected formation energy**: 0.19 eV/atom
**M_tot**: 1.7 μB per formula unit
**Symmetry**: P4/mmm, No. 123

a b c (Å): 5.182 5.182 4.031
angles (deg): 90.00 90.00 90.00
Sites, in units of the cell vectors:
Y  0.000  0.000  0.000
Ag  0.500  0.500  0.500
Se  0.000  0.500  0.500
Se  0.500  0.000  0.500
N  0.500  0.500  0.000

---

# 5
A relaxed YAgSeN2 crystal, computed with GGA-PBE.

Results
**Energy above the most stable polymorph in this dataset**: 0 meV/atom
**Uncorrected formation energy**: 0.75 eV/atom
**M_tot**: 3.9 μB per formula unit
**Symmetry**: P4/mmm, No. 123

a b c (Å): 4.489 4.489 5.726
angles (deg): 90.00 90.00 90.00
Sites, in units of the cell vectors:
Y  0.000  0.000  0.000
Ag  0.500  0.500  0.500
Se  0.000  0.000  0.500
N  0.000  0.500  0.000
N  0.500  0.000  0.000

---

# 6
A relaxed YAgSe2N crystal, computed with GGA-PBE.

Results
**Energy above the most stable polymorph in this dataset**: 128 meV/atom
**Uncorrected formation energy**: 0.32 eV/atom
**M_tot**: 0.0 μB per formula unit
**Symmetry**: P4/mmm, No. 123

a b c (Å): 5.526 5.526 4.364
angles (deg): 90.00 90.00 90.00
Sites, in units of the cell vectors:
Y  0.000  0.000  0.000
Ag  0.500  0.500  0.500
Se  0.000  0.500  0.000
Se  0.500  0.000  0.000
N  0.000  0.000  0.500

---

# 7
A relaxed ZnAgSe2N crystal, computed with GGA-PBE.

Results
**Energy above the most stable polymorph in this dataset**: 261 meV/atom
**Uncorrected formation energy**: 1.14 eV/atom
**M_tot**: 2.0 μB per formula unit
**Symmetry**: P4/mmm, No. 123

a b c (Å): 5.222 5.222 3.987
angles (deg): 90.00 90.00 90.00
Sites, in units of the cell vectors:
Zn  0.000  0.000  0.000
Ag  0.500  0.500  0.500
Se  0.000  0.500  0.500
Se  0.500  0.000  0.500
N  0.500  0.500  0.000

---

# 8
A relaxed ZnAgSe2N crystal, computed with GGA-PBE.

Results
**Energy above the most stable polymorph in this dataset**: 0 meV/atom
**Uncorrected formation energy**: 0.87 eV/atom
**M_tot**: 2.5 μB per formula unit
**Symmetry**: P4/mmm, No. 123

a b c (Å): 5.222 5.222 3.695
angles (deg): 90.00 90.00 90.00
Sites, in units of the cell vectors:
Zn  0.000  0.000  0.000
Ag  0.500  0.500  0.500
Se  0.000  0.500  0.000
Se  0.500  0.000  0.000
N  0.000  0.000  0.500

---

# 9
A relaxed ZrAgSe2N crystal, computed with GGA-PBE.

Results
**Energy above the most stable polymorph in this dataset**: 0 meV/atom
**Uncorrected formation energy**: 0.02 eV/atom
**M_tot**: 1.6 μB per formula unit
**Symmetry**: P4/mmm, No. 123

a b c (Å): 5.318 5.318 4.178
angles (deg): 90.00 90.00 90.00
Sites, in units of the cell vectors:
Zr  0.000  0.000  0.000
Ag  0.500  0.500  0.500
Se  0.000  0.500  0.000
Se  0.500  0.000  0.000
N  0.000  0.000  0.500

---

# 10
A relaxed ZrAgSe2N crystal, computed with GGA-PBE.

Results
**Energy above the most stable polymorph in this dataset**: 776 meV/atom
**Uncorrected formation energy**: 0.79 eV/atom
**M_tot**: 0.0 μB per formula unit
**Symmetry**: P4/mmm, No. 123

a b c (Å): 5.051 5.051 3.935
angles (deg): 90.00 90.00 90.00
Sites, in units of the cell vectors:
Zr  0.000  0.000  0.000
Ag  0.500  0.500  0.500
Se  0.000  0.500  0.500
Se  0.500  0.000  0.500
N  0.500  0.500  0.000

---

# 11
A relaxed SiAg2N2 crystal, computed with GGA-PBE.

Results
**Energy above the most stable polymorph in this dataset**: 24 meV/atom
**Uncorrected formation energy**: 0.73 eV/atom
**M_tot**: 0.0 μB per formula unit
**Symmetry**: I4/mmm, No. 139

a b c (Å): 5.174 5.174 5.174
angles (deg): 125.09 125.09 81.39
Sites, in units of the cell vectors:
Si  0.000  0.000  0.000
Ag  0.250  0.750  0.500
Ag  0.750  0.250  0.500
N  0.210  0.210  0.000
N  0.790  0.790  0.000

---

# 12
A relaxed SiAg2N crystal, computed with GGA-PBE.

Results
**Energy above the most stable polymorph in this dataset**: 0 meV/atom
**Uncorrected formation energy**: 1.05 eV/atom
**M_tot**: 0.0 μB per formula unit
**Symmetry**: Fm-3m, No. 225

a b c (Å): 4.340 4.340 4.340
angles (deg): 60.00 60.00 60.00
Sites, in units of the cell vectors:
Si  0.000  0.000  0.000
Ag  0.250  0.250  0.250
Ag  0.750  0.750  0.750
N  0.500  0.500  0.500